Entry 1:
Below is crystalline ThSc2H at its relaxed geometry, with properties calculated at the PBE level.

Results
The calculation puts the electronic total energy at -0.4160 Ry per atom.

Cell lengths 3.191, 3.191, 8.096 Å; angles 90.00, 90.00, 90.00 degrees
Atoms (fractional coordinates):
Th 0.000 0.000 0.000
Sc 0.500 0.500 0.313
Sc 0.500 0.500 0.687
H 0.000 0.000 0.500

=====

Entry 2:
Below is crystalline Sn4BiS7 at its relaxed geometry, with properties calculated at the PBE level.

Results
The calculation puts the electronic total energy at -0.3252 Ry per atom. For the formation energy (no corrections), the calculation gives -360 meV/atom.

Cell lengths 6.754, 6.754, 12.416 Å; angles 103.58, 103.58, 33.68 degrees
Atoms (fractional coordinates):
Sn 0.000 0.000 0.000
Sn 0.240 0.240 0.770
Sn 0.568 0.568 0.412
Sn 0.895 0.895 0.574
Bi 0.753 0.753 0.141
S 0.128 0.128 0.202
S 0.252 0.252 0.547
S 0.365 0.365 0.035
S 0.538 0.538 0.617
S 0.617 0.617 0.942
S 0.887 0.887 0.783
S 0.916 0.916 0.375